# 1
# YMoI, optimized geometry, DFT PBE
# Formation energy without anion corrections (eV/atom): -0.510
# Spin magnetization (μB/f.u.): 0.00
data_YMoI
_cell_length_a 7.2051
_cell_length_b 4.1593
_cell_length_c 12.9165
_cell_angle_alpha 90.00
_cell_angle_beta 100.61
_cell_angle_gamma 90.00
_space_group_name_H-M_alt 'C 1 2/m 1'
_space_group_IT_number 12
loop_
_space_group_symop_operation_xyz
'x,y,z'
'-x,-y,-z'
'-x,y,-z'
'x,-y,z'
'x+1/2,y+1/2,z'
'-x+1/2,-y+1/2,-z'
'-x+1/2,y+1/2,-z'
'x+1/2,-y+1/2,z'
loop_
_atom_site_label
_atom_site_type_symbol
_atom_site_fract_x
_atom_site_fract_y
_atom_site_fract_z
_atom_site_occupancy
Y1 Y 0.0586 0.0000 0.1780 1
Mo1 Mo 0.1659 0.5000 0.9978 1
I1 I 0.2205 0.0000 0.6578 1

=====

# 2
# YMoI2, optimized geometry, DFT PBE
# Formation energy without anion corrections (eV/atom): 0.262
# Spin magnetization (μB/f.u.): 2.97
data_YMoI2
_cell_length_a 7.3443
_cell_length_b 7.3443
_cell_length_c 7.3443
_cell_angle_alpha 90.00
_cell_angle_beta 90.00
_cell_angle_gamma 90.00
_space_group_name_H-M_alt 'F m -3 m'
_space_group_IT_number 225
_space_group_name_Hall '-F 4 2 3'
loop_
_atom_site_label
_atom_site_type_symbol
_atom_site_fract_x
_atom_site_fract_y
_atom_site_fract_z
_atom_site_occupancy
Y1 Y 0.0000 0.0000 0.0000 1
Mo1 Mo 0.0000 0.0000 0.5000 1
I1 I 0.2500 0.2500 0.2500 1

=====

# 3
# YMo2I, optimized geometry, DFT PBE
# Formation energy without anion corrections (eV/atom): 1.132
# Spin magnetization (μB/f.u.): 0.00
data_YMo2I
_cell_length_a 8.1094
_cell_length_b 8.1094
_cell_length_c 5.6032
_cell_angle_alpha 90.00
_cell_angle_beta 90.00
_cell_angle_gamma 90.00
_space_group_name_H-M_alt 'I -4 2 d'
_space_group_IT_number 122
_space_group_name_Hall 'I -4 2bw'
loop_
_atom_site_label
_atom_site_type_symbol
_atom_site_fract_x
_atom_site_fract_y
_atom_site_fract_z
_atom_site_occupancy
Y1 Y 0.0000 0.0000 0.0000 1
Mo1 Mo 0.1961 0.2500 0.6250 1
I1 I 0.0000 0.0000 0.5000 1

=====

# 4
# Y2MoI4, optimized geometry, DFT PBE
# Formation energy without anion corrections (eV/atom): 0.005
# Spin magnetization (μB/f.u.): 0.00
data_Y2MoI4
_cell_length_a 5.4213
_cell_length_b 5.4213
_cell_length_c 15.4775
_cell_angle_alpha 90.00
_cell_angle_beta 90.00
_cell_angle_gamma 90.00
_space_group_name_H-M_alt 'I 4/m m m'
_space_group_IT_number 139
_space_group_name_Hall '-I 4 2'
loop_
_atom_site_label
_atom_site_type_symbol
_atom_site_fract_x
_atom_site_fract_y
_atom_site_fract_z
_atom_site_occupancy
Y1 Y 0.0000 0.0000 0.1098 1
Mo1 Mo 0.0000 0.0000 0.5000 1
I1 I 0.0000 0.0000 0.3133 1
I2 I 0.0000 0.5000 0.0000 1

=====

# 5
# YMoI, optimized geometry, DFT PBE
# Formation energy without anion corrections (eV/atom): -0.332
# Spin magnetization (μB/f.u.): 0.00
data_YMoI
_cell_length_a 3.7409
_cell_length_b 4.2698
_cell_length_c 10.8735
_cell_angle_alpha 90.00
_cell_angle_beta 98.84
_cell_angle_gamma 90.00
_space_group_name_H-M_alt 'P 1 21/m 1'
_space_group_IT_number 11
loop_
_space_group_symop_operation_xyz
'x,y,z'
'-x,-y,-z'
'-x,y+1/2,-z'
'x,-y+1/2,z'
loop_
_atom_site_label
_atom_site_type_symbol
_atom_site_fract_x
_atom_site_fract_y
_atom_site_fract_z
_atom_site_occupancy
Y1 Y 0.0768 0.2500 0.1805 1
Mo1 Mo 0.4147 0.2500 0.9461 1
I1 I 0.3251 0.2500 0.6617 1

=====

# 6
# YMoI, optimized geometry, DFT PBE
# Formation energy without anion corrections (eV/atom): -0.293
# Spin magnetization (μB/f.u.): 0.00
data_YMoI
_cell_length_a 5.1979
_cell_length_b 4.7906
_cell_length_c 13.2438
_cell_angle_alpha 90.00
_cell_angle_beta 92.27
_cell_angle_gamma 90.00
_space_group_name_H-M_alt 'C 1 2/m 1'
_space_group_IT_number 12
loop_
_space_group_symop_operation_xyz
'x,y,z'
'-x,-y,-z'
'-x,y,-z'
'x,-y,z'
'x+1/2,y+1/2,z'
'-x+1/2,-y+1/2,-z'
'-x+1/2,y+1/2,-z'
'x+1/2,-y+1/2,z'
loop_
_atom_site_label
_atom_site_type_symbol
_atom_site_fract_x
_atom_site_fract_y
_atom_site_fract_z
_atom_site_occupancy
Y1 Y 0.2233 0.0000 0.1981 1
Mo1 Mo 0.2330 0.5000 0.0427 1
I1 I 0.2311 0.5000 0.3533 1

=====

# 7
# YMoI, optimized geometry, DFT PBE
# Formation energy without anion corrections (eV/atom): -0.508
# Spin magnetization (μB/f.u.): 0.00
data_YMoI
_cell_length_a 7.2008
_cell_length_b 4.1604
_cell_length_c 12.9529
_cell_angle_alpha 90.00
_cell_angle_beta 101.20
_cell_angle_gamma 90.00
_space_group_name_H-M_alt 'C 1 m 1'
_space_group_IT_number 8
loop_
_space_group_symop_operation_xyz
'x,y,z'
'x,-y,z'
'x+1/2,y+1/2,z'
'x+1/2,-y+1/2,z'
loop_
_atom_site_label
_atom_site_type_symbol
_atom_site_fract_x
_atom_site_fract_y
_atom_site_fract_z
_atom_site_occupancy
Y1 Y 0.0000 0.0000 0.0000 1
Y2 Y 0.1245 0.0000 0.3560 1
Mo1 Mo 0.2290 0.5000 0.1780 1
Mo2 Mo 0.3958 0.0000 0.1780 1
I1 I 0.1090 0.5000 0.8356 1
I2 I 0.3483 0.5000 0.5204 1

=====

# 8
# YMoI, optimized geometry, DFT PBE
# Formation energy without anion corrections (eV/atom): -0.356
# Spin magnetization (μB/f.u.): 0.00
data_YMoI
_cell_length_a 3.7365
_cell_length_b 3.7365
_cell_length_c 12.5831
_cell_angle_alpha 90.00
_cell_angle_beta 90.35
_cell_angle_gamma 90.00
_space_group_name_H-M_alt 'P 1 21/m 1'
_space_group_IT_number 11
loop_
_space_group_symop_operation_xyz
'x,y,z'
'-x,-y,-z'
'-x,y+1/2,-z'
'x,-y+1/2,z'
loop_
_atom_site_label
_atom_site_type_symbol
_atom_site_fract_x
_atom_site_fract_y
_atom_site_fract_z
_atom_site_occupancy
Y1 Y 0.2458 0.2500 0.3017 1
Mo1 Mo 0.2500 0.7500 0.5000 1
I1 I 0.2574 0.2500 0.8456 1

=====

# 9
# Y2MoI, optimized geometry, DFT PBE
# Formation energy without anion corrections (eV/atom): 0.327
# Spin magnetization (μB/f.u.): 0.00
data_Y2MoI
_cell_length_a 7.3571
_cell_length_b 7.3571
_cell_length_c 7.3571
_cell_angle_alpha 90.00
_cell_angle_beta 90.00
_cell_angle_gamma 90.00
_space_group_name_H-M_alt 'F m -3 m'
_space_group_IT_number 225
_space_group_name_Hall '-F 4 2 3'
loop_
_atom_site_label
_atom_site_type_symbol
_atom_site_fract_x
_atom_site_fract_y
_atom_site_fract_z
_atom_site_occupancy
Y1 Y 0.2500 0.2500 0.2500 1
Mo1 Mo 0.0000 0.0000 0.0000 1
I1 I 0.0000 0.0000 0.5000 1

=====

# 10
# YMoI3, optimized geometry, DFT PBE
# Formation energy without anion corrections (eV/atom): 0.171
# Spin magnetization (μB/f.u.): 5.94
data_YMoI3
_cell_length_a 6.0108
_cell_length_b 6.0108
_cell_length_c 6.0108
_cell_angle_alpha 90.00
_cell_angle_beta 90.00
_cell_angle_gamma 90.00
_space_group_name_H-M_alt 'P m -3 m'
_space_group_IT_number 221
_space_group_name_Hall '-P 4 2 3'
loop_
_atom_site_label
_atom_site_type_symbol
_atom_site_fract_x
_atom_site_fract_y
_atom_site_fract_z
_atom_site_occupancy
Y1 Y 0.0000 0.0000 0.0000 1
Mo1 Mo 0.5000 0.5000 0.5000 1
I1 I 0.0000 0.0000 0.5000 1

=====

# 11
# YMoI, optimized geometry, DFT PBE
# Formation energy without anion corrections (eV/atom): -0.509
# Spin magnetization (μB/f.u.): 0.00
data_YMoI
_cell_length_a 4.1616
_cell_length_b 4.1625
_cell_length_c 12.6823
_cell_angle_alpha 89.85
_cell_angle_beta 89.93
_cell_angle_gamma 60.02
_space_group_name_H-M_alt 'P -1'
_space_group_IT_number 2
loop_
_space_group_symop_operation_xyz
'x,y,z'
'-x,-y,-z'
loop_
_atom_site_label
_atom_site_type_symbol
_atom_site_fract_x
_atom_site_fract_y
_atom_site_fract_z
_atom_site_occupancy
Y1 Y 0.0000 0.0015 0.3220 1
Mo1 Mo 0.3333 0.3333 0.4979 1
I1 I 0.3333 0.3309 0.8423 1

=====

# 12
# ZnMo3I, optimized geometry, DFT PBE
# Formation energy without anion corrections (eV/atom): 1.897
# Spin magnetization (μB/f.u.): 0.00
data_ZnMo3I
_cell_length_a 4.6845
_cell_length_b 4.6845
_cell_length_c 4.6845
_cell_angle_alpha 90.00
_cell_angle_beta 90.00
_cell_angle_gamma 90.00
_space_group_name_H-M_alt 'P m -3 m'
_space_group_IT_number 221
_space_group_name_Hall '-P 4 2 3'
loop_
_atom_site_label
_atom_site_type_symbol
_atom_site_fract_x
_atom_site_fract_y
_atom_site_fract_z
_atom_site_occupancy
Zn1 Zn 0.0000 0.0000 0.0000 1
Mo1 Mo 0.0000 0.0000 0.5000 1
I1 I 0.5000 0.5000 0.5000 1

=====

Please write out number 2 again, unchanged.
# YMoI2, optimized geometry, DFT PBE
# Formation energy without anion corrections (eV/atom): 0.262
# Spin magnetization (μB/f.u.): 2.97
data_YMoI2
_cell_length_a 7.3443
_cell_length_b 7.3443
_cell_length_c 7.3443
_cell_angle_alpha 90.00
_cell_angle_beta 90.00
_cell_angle_gamma 90.00
_space_group_name_H-M_alt 'F m -3 m'
_space_group_IT_number 225
_space_group_name_Hall '-F 4 2 3'
loop_
_atom_site_label
_atom_site_type_symbol
_atom_site_fract_x
_atom_site_fract_y
_atom_site_fract_z
_atom_site_occupancy
Y1 Y 0.0000 0.0000 0.0000 1
Mo1 Mo 0.0000 0.0000 0.5000 1
I1 I 0.2500 0.2500 0.2500 1